{
  "formula": "TlCr3Br",
  "functional": "GGA-PBEsol",
  "state": "relaxed",
  "m_tot_mub_per_fu": 12.8,
  "e_form_raw_ev_per_atom": 1.52,
  "final_energy_ev_per_atom": -5.527,
  "lattice": [[5.1476, 0.0000, 0.0000], [0.0000, 5.1476, 0.0000], [0.0000, 0.0000, 5.1476]],
  "species": ["Tl", "Cr", "Cr", "Cr", "Br"],
  "fractional_positions": [[0.0000, 0.0000, 0.0000], [0.0000, 0.0000, 0.5000], [0.0000, 0.5000, 0.0000], [0.5000, 0.0000, 0.0000], [0.5000, 0.5000, 0.5000]]
}